No. 1
# BiHIr2Au

A relaxed structure of BiHIr2Au (PBE-GGA, Alexandria).

- Calculated density: 9.7 g/cm3
- Symmetry: P4/mmm, No. 123
- E: -3.4213 eV per atom
- Spin magnetization: 3.28 μB/cell

Cell: 5.007 5.425 5.007 Å, 90.00 90.00 90.00°
Last column: magnetic moment on the atom in μB.
Fractional positions:
Ir  0.000  0.000  0.500  1.59
Ir  0.500  0.000  0.000  0.98
Au  0.000  0.000  0.000  0.11
H  0.500  0.500  0.500  0.30
Bi  0.000  0.500  0.000  -0.15

No. 2
# Tm6Os2Pb

A relaxed structure of Tm6Os2Pb (PBE-GGA, Alexandria).

- Calculated density: 11.6 g/cm3
- Symmetry: Immm, No. 71
- E_form: -0.357 eV per atom
- Spin magnetization: 0.00 μB/cell

Cell: 8.440 8.440 8.440 Å, 104.48 111.39 112.66°
Fractional positions:
Os  0.500  0.623  0.123
Os  0.500  0.377  0.877
Os  0.664  0.000  0.664
Os  0.336  0.000  0.336
Tm  0.687  0.355  0.668
Tm  0.215  0.758  0.973
Tm  0.785  0.242  0.027
Tm  0.467  0.283  0.185
Tm  0.533  0.717  0.815
Tm  0.687  0.020  0.332
Tm  0.785  0.758  0.542
Tm  0.215  0.242  0.458
Tm  0.902  0.717  0.185
Tm  0.098  0.283  0.815
Tm  0.313  0.980  0.668
Tm  0.313  0.645  0.332
Pb  0.000  0.500  0.500
Pb  0.000  0.000  0.000

No. 3
# TbYRhI

A relaxed structure of TbYRhI (PBE-GGA, Alexandria).

- Energy relative to the elements, uncorrected: -0.93 eV/atom
- Calculated density: 6.9 g/cm3
- Symmetry: R3m, No. 160
- Spin magnetization: 0.00 μB/cell

Cell: 4.092 4.092 8.288 Å, 90.02 104.29 120.00°
Fractional positions:
Y  0.093  0.944  0.052
Tb  0.518  0.157  0.690
I  0.964  0.380  0.359
Rh  0.303  0.550  0.868

No. 4
# KBiPd3

A relaxed structure of KBiPd3 (PBE-GGA, Alexandria).

- Polymorph energy (0 for the lowest one): 1215.6 meV per atom
- Calculated density: 7.6 g/cm3
- Symmetry: Pm-3m, No. 221
- E_form: 1.070 eV per atom
- Spin magnetization: 0.00 μB/cell

Cell: 4.987 4.987 4.987 Å, 90.00 90.00 90.00°
Fractional positions:
Pd  0.500  0.000  0.000
Pd  0.000  0.000  0.500
Pd  0.000  0.500  0.000
K  0.000  0.000  0.000
Bi  0.500  0.500  0.500

> Number 4 is which compound?

KBiPd3